Version P
A plane-wave DFT calculation with GGA-PBE was carried out for a relaxed PuTi2Be crystal.

Cell lengths 2.996, 2.996, 7.339 Å; angles 90.00, 90.00, 90.00 degrees
Fractional coordinates of all 4 atoms:
Pu (0.000, 0.000, 0.000)
Ti (0.500, 0.500, 0.301)
Ti (0.500, 0.500, 0.699)
Be (0.000, 0.000, 0.500)

- space group = P4/mmm (123)
- density of states at the Fermi level (states/eV per cell) = 4.03

---

Version Q
A plane-wave DFT calculation with GGA-PBE was carried out for a relaxed PuTi2Be crystal.

Cell lengths 4.519, 4.519, 4.519 Å; angles 60.00, 60.00, 60.00 degrees
Fractional coordinates of all 4 atoms:
Pu (0.000, 0.000, 0.000)
Ti (0.250, 0.250, 0.250)
Ti (0.750, 0.750, 0.750)
Be (0.500, 0.500, 0.500)

- space group = Fm-3m (225)
- density of states at the Fermi level (states/eV per cell) = 7.37

---

The winner here is version P, beating the second structure by 185 meV per atom.

---

Version P
A plane-wave DFT calculation with GGA-PBE was carried out for a relaxed RbBe crystal.

Cell lengths 8.683, 8.683, 8.683 Å; angles 109.47, 109.47, 109.47 degrees
Fractional coordinates of all 8 atoms:
Rb (0.000, 0.000, 0.435)
Rb (0.000, 0.435, 0.000)
Rb (0.435, 0.000, 0.000)
Rb (0.565, 0.565, 0.565)
Be (0.000, 0.000, 0.855)
Be (0.000, 0.855, 0.000)
Be (0.145, 0.145, 0.145)
Be (0.855, 0.000, 0.000)

- space group = I-43m (217)
- density of states at the Fermi level (states/eV per cell) = 8.57

---

Version Q
A plane-wave DFT calculation with GGA-PBE was carried out for a relaxed RbBe crystal.

Cell lengths 4.127, 7.859, 7.859 Å; angles 123.43, 90.00, 90.00 degrees
Fractional coordinates of all 6 atoms:
Rb (0.000, 0.000, 0.000)
Rb (0.500, 0.019, 0.509)
Rb (0.500, 0.509, 0.019)
Be (0.000, 0.445, 0.585)
Be (0.000, 0.585, 0.445)
Be (0.500, 0.516, 0.516)

- space group = Amm2 (38)
- density of states at the Fermi level (states/eV per cell) = 2.93

---

Version R
A plane-wave DFT calculation with GGA-PBE was carried out for a relaxed RbBe crystal.

Cell lengths 4.240, 5.295, 8.920 Å; angles 102.07, 96.42, 112.78 degrees
Fractional coordinates of all 4 atoms:
Rb (0.120, 0.125, 0.249)
Rb (0.880, 0.875, 0.751)
Be (0.263, 0.527, 0.000)
Be (0.737, 0.473, 0.000)

- space group = P-1 (2)
- density of states at the Fermi level (states/eV per cell) = 3.10

---

The winner here is version Q, beating the second structure by 80 meV per atom.

---

Version P
A plane-wave DFT calculation with GGA-PBE was carried out for a relaxed RbBe crystal.

Cell lengths 6.121, 6.121, 7.075 Å; angles 90.00, 90.00, 120.00 degrees
Fractional coordinates of all 4 atoms:
Rb (0.333, 0.667, 0.250)
Rb (0.667, 0.333, 0.750)
Be (0.333, 0.667, 0.750)
Be (0.667, 0.333, 0.250)

- space group = P6_3/mmc (194)
- density of states at the Fermi level (states/eV per cell) = 4.55

---

Version Q
A plane-wave DFT calculation with GGA-PBE was carried out for a relaxed RbBe crystal.

Cell lengths 9.957, 9.957, 9.957 Å; angles 90.00, 90.00, 90.00 degrees
Fractional coordinates of all 12 atoms:
Rb (0.000, 0.250, 0.500)
Rb (0.000, 0.750, 0.500)
Rb (0.250, 0.500, 0.000)
Rb (0.500, 0.000, 0.250)
Rb (0.500, 0.000, 0.750)
Rb (0.750, 0.500, 0.000)
Be (0.000, 0.500, 0.250)
Be (0.000, 0.500, 0.750)
Be (0.250, 0.000, 0.500)
Be (0.500, 0.250, 0.000)
Be (0.500, 0.750, 0.000)
Be (0.750, 0.000, 0.500)

- space group = Pm-3n (223)
- density of states at the Fermi level (states/eV per cell) = 23.29

---

The winner here is version P, beating the second structure by 126 meV per atom.

---

Version P
A plane-wave DFT calculation with GGA-PBE was carried out for a relaxed RbBe2Re crystal.

Cell lengths 4.622, 4.622, 4.622 Å; angles 60.00, 60.00, 60.00 degrees
Fractional coordinates of all 4 atoms:
Rb (0.000, 0.000, 0.000)
Be (0.250, 0.250, 0.250)
Be (0.750, 0.750, 0.750)
Re (0.500, 0.500, 0.500)

- space group = Fm-3m (225)
- density of states at the Fermi level (states/eV per cell) = 1.13

---

Version Q
A plane-wave DFT calculation with GGA-PBE was carried out for a relaxed RbBe2Re crystal.

Cell lengths 8.483, 8.483, 8.483 Å; angles 145.45, 145.45, 49.67 degrees
Fractional coordinates of all 8 atoms:
Rb (0.375, 0.625, 0.750)
Rb (0.625, 0.375, 0.250)
Be (0.000, 0.000, 0.000)
Be (0.000, 0.000, 0.500)
Be (0.000, 0.500, 0.000)
Be (0.500, 0.000, 0.500)
Re (0.125, 0.875, 0.250)
Re (0.875, 0.125, 0.750)

- space group = I4_1/amd (141)
- density of states at the Fermi level (states/eV per cell) = 2.52

---

The winner here is version Q, beating the second structure by 458 meV per atom.

---

Version P
A plane-wave DFT calculation with GGA-PBE was carried out for a relaxed RbBe3Re crystal.

Cell lengths 4.322, 4.322, 4.322 Å; angles 90.00, 90.00, 90.00 degrees
Fractional coordinates of all 5 atoms:
Rb (0.000, 0.000, 0.000)
Be (0.000, 0.000, 0.500)
Be (0.000, 0.500, 0.000)
Be (0.500, 0.000, 0.000)
Re (0.500, 0.500, 0.500)

- space group = Pm-3m (221)
- density of states at the Fermi level (states/eV per cell) = 6.19

---

Version Q
A plane-wave DFT calculation with GGA-PBE was carried out for a relaxed RbBe3Re crystal.

Cell lengths 4.595, 4.595, 4.595 Å; angles 90.00, 90.00, 90.00 degrees
Fractional coordinates of all 5 atoms:
Rb (0.000, 0.000, 0.000)
Be (0.000, 0.500, 0.500)
Be (0.500, 0.000, 0.500)
Be (0.500, 0.500, 0.000)
Re (0.500, 0.500, 0.500)

- space group = Pm-3m (221)
- density of states at the Fermi level (states/eV per cell) = 3.80

---

The winner here is version Q, beating the second structure by 2077 meV per atom.

---

Version P
A plane-wave DFT calculation with GGA-PBE was carried out for a relaxed RbBe2Rh crystal.

Cell lengths 7.444, 7.444, 7.444 Å; angles 135.20, 135.20, 65.21 degrees
Fractional coordinates of all 8 atoms:
Rb (0.375, 0.625, 0.750)
Rb (0.625, 0.375, 0.250)
Be (0.000, 0.000, 0.000)
Be (0.000, 0.000, 0.500)
Be (0.000, 0.500, 0.000)
Be (0.500, 0.000, 0.500)
Rh (0.125, 0.875, 0.250)
Rh (0.875, 0.125, 0.750)

- space group = I4_1/amd (141)
- density of states at the Fermi level (states/eV per cell) = 1.80

---

Version Q
A plane-wave DFT calculation with GGA-PBE was carried out for a relaxed RbBe2Rh crystal.

Cell lengths 4.616, 4.616, 4.616 Å; angles 60.00, 60.00, 60.00 degrees
Fractional coordinates of all 4 atoms:
Rb (0.000, 0.000, 0.000)
Be (0.250, 0.250, 0.250)
Be (0.750, 0.750, 0.750)
Rh (0.500, 0.500, 0.500)

- space group = Fm-3m (225)
- density of states at the Fermi level (states/eV per cell) = 1.98

---

The winner here is version P, beating the second structure by 784 meV per atom.

---

Version P
A plane-wave DFT calculation with GGA-PBE was carried out for a relaxed RbBeRu3 crystal.

Cell lengths 4.719, 4.719, 4.719 Å; angles 90.00, 90.00, 90.00 degrees
Fractional coordinates of all 5 atoms:
Rb (0.000, 0.000, 0.000)
Be (0.500, 0.500, 0.500)
Ru (0.000, 0.000, 0.500)
Ru (0.000, 0.500, 0.000)
Ru (0.500, 0.000, 0.000)

- space group = Pm-3m (221)
- density of states at the Fermi level (states/eV per cell) = 7.09

---

Version Q
A plane-wave DFT calculation with GGA-PBE was carried out for a relaxed RbBeRu3 crystal.

Cell lengths 4.424, 4.424, 4.424 Å; angles 90.00, 90.00, 90.00 degrees
Fractional coordinates of all 5 atoms:
Rb (0.000, 0.000, 0.000)
Be (0.500, 0.500, 0.500)
Ru (0.000, 0.500, 0.500)
Ru (0.500, 0.000, 0.500)
Ru (0.500, 0.500, 0.000)

- space group = Pm-3m (221)
- density of states at the Fermi level (states/eV per cell) = 6.22

---

The winner here is version Q, beating the second structure by 1968 meV per atom.

---

Version P
A plane-wave DFT calculation with GGA-PBE was carried out for a relaxed RbBe3Ru crystal.

Cell lengths 4.507, 4.507, 4.507 Å; angles 90.00, 90.00, 90.00 degrees
Fractional coordinates of all 5 atoms:
Rb (0.000, 0.000, 0.000)
Be (0.000, 0.500, 0.500)
Be (0.500, 0.000, 0.500)
Be (0.500, 0.500, 0.000)
Ru (0.500, 0.500, 0.500)

- space group = Pm-3m (221)
- density of states at the Fermi level (states/eV per cell) = 1.57

---

Version Q
A plane-wave DFT calculation with GGA-PBE was carried out for a relaxed RbBe3Ru crystal.

Cell lengths 4.514, 4.514, 4.514 Å; angles 90.00, 90.00, 90.00 degrees
Fractional coordinates of all 5 atoms:
Rb (0.000, 0.000, 0.000)
Be (0.000, 0.000, 0.500)
Be (0.000, 0.500, 0.000)
Be (0.500, 0.000, 0.000)
Ru (0.500, 0.500, 0.500)

- space group = Pm-3m (221)
- density of states at the Fermi level (states/eV per cell) = 2.61

---

The winner here is version P, beating the second structure by 2290 meV per atom.

---

Version P
A plane-wave DFT calculation with GGA-PBE was carried out for a relaxed Rb3BeS3 crystal.

Cell lengths 9.261, 7.351, 12.639 Å; angles 90.00, 97.32, 90.00 degrees
Fractional coordinates of all 28 atoms:
Rb (0.056, 0.149, 0.133)
Rb (0.056, 0.351, 0.633)
Rb (0.326, 0.677, 0.799)
Rb (0.326, 0.823, 0.299)
Rb (0.376, 0.209, 0.928)
Rb (0.376, 0.291, 0.428)
Rb (0.624, 0.709, 0.572)
Rb (0.624, 0.791, 0.072)
Rb (0.674, 0.177, 0.701)
Rb (0.674, 0.323, 0.201)
Rb (0.944, 0.649, 0.367)
Rb (0.944, 0.851, 0.867)
Be (0.137, 0.565, 0.042)
Be (0.137, 0.935, 0.542)
Be (0.863, 0.065, 0.458)
Be (0.863, 0.435, 0.958)
S (0.067, 0.079, 0.397)
S (0.067, 0.421, 0.897)
S (0.259, 0.685, 0.535)
S (0.259, 0.815, 0.035)
S (0.330, 0.027, 0.639)
S (0.330, 0.473, 0.139)
S (0.670, 0.527, 0.861)
S (0.670, 0.973, 0.361)
S (0.741, 0.185, 0.965)
S (0.741, 0.315, 0.465)
S (0.933, 0.579, 0.103)
S (0.933, 0.921, 0.603)

- space group = P2_1/c (14)

---

Version Q
A plane-wave DFT calculation with GGA-PBE was carried out for a relaxed Rb3BeS3 crystal.

Cell lengths 7.069, 7.069, 7.069 Å; angles 111.62, 111.62, 111.62 degrees
Fractional coordinates of all 7 atoms:
Rb (0.033, 0.484, 0.484)
Rb (0.484, 0.033, 0.484)
Rb (0.484, 0.484, 0.033)
Be (0.835, 0.835, 0.835)
S (0.631, 0.928, 0.928)
S (0.928, 0.631, 0.928)
S (0.928, 0.928, 0.631)

- space group = R3m (160)
- density of states at the Fermi level (states/eV per cell) = 4.00

---

The winner here is version P, beating the second structure by 84 meV per atom.

---

Version P
A plane-wave DFT calculation with GGA-PBE was carried out for a relaxed Rb2BeS crystal.

Cell lengths 10.577, 10.577, 10.577 Å; angles 143.25, 143.25, 52.94 degrees
Fractional coordinates of all 8 atoms:
Rb (0.063, 0.625, 0.938)
Rb (0.375, 0.313, 0.438)
Rb (0.687, 0.125, 0.062)
Rb (0.875, 0.937, 0.562)
Be (0.250, 0.750, 0.500)
Be (0.500, 0.500, 0.000)
S (0.000, 0.000, 0.000)
S (0.750, 0.250, 0.500)

- space group = I-42d (122)
- density of states at the Fermi level (states/eV per cell) = 0.00

---

Version Q
A plane-wave DFT calculation with GGA-PBE was carried out for a relaxed Rb2BeS crystal.

Cell lengths 5.689, 5.689, 5.689 Å; angles 60.00, 60.00, 60.00 degrees
Fractional coordinates of all 4 atoms:
Rb (0.250, 0.250, 0.250)
Rb (0.750, 0.750, 0.750)
Be (0.000, 0.000, 0.000)
S (0.500, 0.500, 0.500)

- space group = Fm-3m (225)
- density of states at the Fermi level (states/eV per cell) = 0.00

---

The winner here is version Q, beating the second structure by 251 meV per atom.

---

Version P
A plane-wave DFT calculation with GGA-PBE was carried out for a relaxed RbBeS3 crystal.

Cell lengths 6.091, 6.091, 6.091 Å; angles 90.00, 90.00, 90.00 degrees
Fractional coordinates of all 5 atoms:
Rb (0.000, 0.000, 0.000)
Be (0.500, 0.500, 0.500)
S (0.000, 0.000, 0.500)
S (0.000, 0.500, 0.000)
S (0.500, 0.000, 0.000)

- space group = Pm-3m (221)
- density of states at the Fermi level (states/eV per cell) = 5.43

---

Version Q
A plane-wave DFT calculation with GGA-PBE was carried out for a relaxed RbBeS3 crystal.

Cell lengths 4.613, 4.613, 4.613 Å; angles 90.00, 90.00, 90.00 degrees
Fractional coordinates of all 5 atoms:
Rb (0.000, 0.000, 0.000)
Be (0.500, 0.500, 0.500)
S (0.000, 0.500, 0.500)
S (0.500, 0.000, 0.500)
S (0.500, 0.500, 0.000)

- space group = Pm-3m (221)
- density of states at the Fermi level (states/eV per cell) = 5.38

---

The winner here is version Q, beating the second structure by 1784 meV per atom.

---

Version P
A plane-wave DFT calculation with GGA-PBE was carried out for a relaxed RbBeSb crystal.

Cell lengths 4.255, 4.255, 5.792 Å; angles 90.00, 90.00, 120.00 degrees
Fractional coordinates of all 3 atoms:
Rb (0.000, 0.000, 0.000)
Be (0.667, 0.333, 0.500)
Sb (0.333, 0.667, 0.500)

- space group = P-6m2 (187)

---

Version Q
A plane-wave DFT calculation with GGA-PBE was carried out for a relaxed RbBeSb crystal.

Cell lengths 9.180, 9.180, 9.180 Å; angles 152.11, 140.89, 48.72 degrees
Fractional coordinates of all 6 atoms:
Rb (0.146, 0.146, 0.000)
Rb (0.854, 0.854, 0.000)
Be (0.500, 0.257, 0.757)
Be (0.500, 0.743, 0.243)
Sb (0.373, 0.373, 0.000)
Sb (0.627, 0.627, 0.000)

- space group = Immm (71)
- density of states at the Fermi level (states/eV per cell) = 1.83

---

The winner here is version P, beating the second structure by 232 meV per atom.